The following is a DFT calculation (PBE-GGA) of a relaxed TaZnMo2 crystal.

As for the crystal system: tetragonal. For the volume, the calculation gives 16.0 Å³/atom. The calculation puts the formation energy at 52.1 meV per atom. For the total magnetic moment, the calculation gives 0.0 μB per formula unit.

The structure belongs to space group P4mm (No. 99); the cell edges are 3.277, 3.277 and 5.966 Å and the angles 90.00°, 90.00° and 90.00°. Symmetry generates all atoms from Ta at (0.000, 0.000, 0.000), Zn at (0.500, 0.500, 0.256), Mo at (0.000, 0.000, 0.498) and Mo at (0.500, 0.500, 0.743).